# 1
The following is a GGA-PBE calculation of an optimized crystal structure of MgTc2Pt, from Alexandria.

Values from the calculation:
ρ = 11.3 g/cm3
Energy of formation from the pure elements = 0.02 eV/atom

a b c (Å): 5.073 5.073 2.718
angles (deg): 89.88 89.88 119.12
Fractional coordinates of all 4 atoms:
Mg: 0.500 0.000 0.500
Pt: 0.000 0.500 0.500
Tc: 0.000 0.000 0.000
Tc: 0.500 0.500 0.000

# 2
The following is a GGA-PBE calculation of an optimized crystal structure of La2Nd8Y3, from Alexandria.

Values from the calculation:
ρ = 6.0 g/cm3
Energy of formation from the pure elements = 0.20 eV/atom

a b c (Å): 5.726 7.734 11.260
angles (deg): 110.08 90.01 90.00
Fractional coordinates of all 13 atoms:
La: 0.500 0.241 0.483
La: 0.500 0.759 0.517
Nd: 0.000 0.667 0.333
Nd: 0.000 0.333 0.667
Nd: 0.000 0.129 0.259
Nd: 0.000 0.871 0.741
Nd: 0.500 0.602 0.794
Nd: 0.500 0.192 0.794
Nd: 0.500 0.808 0.206
Nd: 0.500 0.398 0.206
Y: 0.500 0.000 0.000
Y: 0.000 0.284 0.000
Y: 0.000 0.716 0.000

# 3
The following is a GGA-PBE calculation of an optimized crystal structure of PrNd3Sm2Tm6, from Alexandria.

Values from the calculation:
ρ = 8.1 g/cm3
Energy of formation from the pure elements = 0.02 eV/atom

a b c (Å): 6.215 6.215 11.723
angles (deg): 95.06 95.06 119.98
Fractional coordinates of all 12 atoms:
Pr: 0.000 0.000 0.000
Nd: 0.167 0.833 0.500
Nd: 0.833 0.167 0.500
Nd: 0.500 0.500 0.500
Sm: 0.333 0.667 0.000
Sm: 0.667 0.333 0.000
Tm: 0.917 0.583 0.751
Tm: 0.750 0.750 0.250
Tm: 0.083 0.417 0.249
Tm: 0.583 0.917 0.751
Tm: 0.250 0.250 0.750
Tm: 0.417 0.083 0.249

# 4
The following is a GGA-PBE calculation of an optimized crystal structure of Cd4SnSe6, from Alexandria.

Values from the calculation:
Formation energy (no corrections) = -494 meV per atom
ρ = 5.4 g/cm3

a b c (Å): 7.745 7.680 13.351
angles (deg): 72.86 73.14 59.72
Fractional coordinates of all 22 atoms:
Cd: 0.291 0.986 0.648
Cd: 0.076 0.486 0.148
Cd: 0.769 0.215 0.459
Cd: 0.557 0.715 0.959
Cd: 0.918 0.669 0.652
Cd: 0.761 0.169 0.152
Cd: 0.686 0.236 0.807
Cd: 0.271 0.736 0.307
Sn: 0.682 0.781 0.396
Sn: 0.141 0.281 0.896
Se: 0.407 0.527 0.144
Se: 0.922 0.027 0.644
Se: 0.464 0.599 0.477
Se: 0.461 0.099 0.977
Se: 0.471 0.123 0.455
Se: 0.951 0.623 0.955
Se: 0.951 0.073 0.953
Se: 0.023 0.573 0.453
Se: 0.011 0.152 0.265
Se: 0.571 0.652 0.765
Se: 0.265 0.325 0.698
Se: 0.713 0.825 0.198

# 5
The following is a GGA-PBE calculation of an optimized crystal structure of KZnSN2, from Alexandria.

Values from the calculation:
Formation energy (no corrections) = 2169 meV per atom
Energy relative to the lowest polymorph listed for this composition = 1.072 eV/atom
ρ = 1.9 g/cm3

a b c (Å): 4.897 4.897 6.139
angles (deg): 90.00 90.00 90.00
Site moments in Bohr magnetons follow the coordinates.
Fractional coordinates of all 5 atoms:
S: 0.000 0.000 0.500  0.14
Zn: 0.500 0.500 0.500  0.02
K: 0.000 0.000 0.000  0.09
N: 0.000 0.500 0.000  1.74
N: 0.500 0.000 0.000  1.74

# 6
The following is a GGA-PBE calculation of an optimized crystal structure of TcNi2, from Alexandria.

Values from the calculation:
Energy relative to the lowest polymorph listed for this composition = 0.040 eV/atom
ρ = 9.8 g/cm3
Energy of formation from the pure elements = 0.00 eV/atom

a b c (Å): 5.193 3.595 7.785
angles (deg): 90.00 90.00 90.00
Fractional coordinates of all 12 atoms:
Ni: 0.129 0.250 0.251
Ni: 0.371 0.750 0.751
Ni: 0.629 0.250 0.249
Ni: 0.871 0.750 0.749
Ni: 0.117 0.250 0.586
Ni: 0.383 0.750 0.086
Ni: 0.617 0.250 0.914
Ni: 0.883 0.750 0.414
Tc: 0.621 0.250 0.576
Tc: 0.879 0.750 0.076
Tc: 0.121 0.250 0.924
Tc: 0.379 0.750 0.424

# 7
The following is a GGA-PBE calculation of an optimized crystal structure of Mn2Si3, from Alexandria.

Values from the calculation:
Formation energy (no corrections) = -267 meV per atom
ρ = 5.3 g/cm3

a b c (Å): 7.846 7.090 4.608
angles (deg): 81.24 63.27 35.49
Site moments in Bohr magnetons follow the coordinates.
Fractional coordinates of all 10 atoms:
Mn: 0.435 0.435 0.065  1.03
Mn: 0.065 0.065 0.435  1.03
Mn: 0.815 0.815 0.185  1.03
Mn: 0.185 0.185 0.815  1.03
Si: 0.371 0.371 0.629  -0.04
Si: 0.629 0.629 0.371  -0.04
Si: 0.879 0.879 0.621  -0.04
Si: 0.621 0.621 0.879  -0.04
Si: 0.000 0.000 0.000  -0.05
Si: 0.250 0.250 0.250  -0.05

# 8
The following is a GGA-PBE calculation of an optimized crystal structure of AcTi4S8, from Alexandria.

Values from the calculation:
Formation energy (no corrections) = -1536 meV per atom
Energy relative to the lowest polymorph listed for this composition = 0.000 eV/atom
ρ = 3.8 g/cm3

a b c (Å): 6.896 6.896 8.156
angles (deg): 64.99 64.99 60.00
Fractional coordinates of all 13 atoms:
Ac: 0.500 0.500 0.500
Ti: 0.000 0.500 0.000
Ti: 0.500 0.500 0.000
Ti: 0.500 0.000 0.000
Ti: 0.000 0.000 0.000
S: 0.741 0.231 0.796
S: 0.769 0.259 0.204
S: 0.259 0.769 0.204
S: 0.769 0.769 0.204
S: 0.733 0.733 0.802
S: 0.267 0.267 0.198
S: 0.231 0.231 0.796
S: 0.231 0.741 0.796

# 9
The following is a GGA-PBE calculation of an optimized crystal structure of SbOs2Se, from Alexandria.

Values from the calculation:
Formation energy (no corrections) = 770 meV per atom
Energy relative to the lowest polymorph listed for this composition = 0.416 eV/atom
ρ = 12.6 g/cm3

a b c (Å): 2.965 2.965 10.222
angles (deg): 90.00 90.00 121.24
Fractional coordinates of all 4 atoms:
Os: 0.000 0.000 0.013
Os: 0.500 0.500 0.224
Sb: 0.000 0.000 0.458
Se: 0.500 0.500 0.805

What is the formula in the sixth record?
TcNi2

What is the ρ in the fifth record?
1.9 g/cm3